[1]
## Ta2CoMo (PBE)

Data for crystalline Ta2CoMo at its relaxed geometry.

Computed properties:
Its volume is 15.65 Å³/atom. As for the offset from the most stable computed form: 115 meV per atom. The calculation puts the uncorrected energy at -0.3841 hartree per atom.

Lattice parameters (Å, degrees): 3.3607 4.4334 8.4005 90.00 90.00 90.00
Closest atoms and distances in Å follow each position.
Space group Cmmm (No. 65)
One atom of each set of equivalent atoms:
Ta  0.0000  0.0000  0.2282 (multiplicity 4)  2 Co 2.55, 4 Ta 2.78, 2 Mo 2.84
Co  0.0000  0.5000  0.0000 (multiplicity 2)  4 Ta 2.55, 4 Co 2.78
Mo  0.0000  0.5000  0.5000 (multiplicity 2)  4 Mo 2.78, 4 Ta 2.84

=====

[2]
## TaCoMo2 (PBE)

Data for crystalline TaCoMo2 at its relaxed geometry.

Computed properties:
Its volume is 15.30 Å³/atom. As for the offset from the most stable computed form: 118 meV per atom. The calculation puts the uncorrected energy at -0.3695 hartree per atom.

Lattice parameters (Å, degrees): 4.3701 4.3701 3.2040 90.00 90.00 90.00
Closest atoms and distances in Å follow each position.
Space group P4/mmm (No. 123)
One atom of each set of equivalent atoms:
Ta  0.0000  0.0000  0.0000 (multiplicity 1)  8 Mo 2.71
Co  0.5000  0.5000  0.0000 (multiplicity 1)  8 Mo 2.71
Mo  0.0000  0.5000  0.5000 (multiplicity 2)  4 Ta 2.71, 4 Co 2.71

=====

[3]
## Ta2CoMo (PBE)

Data for crystalline Ta2CoMo at its relaxed geometry.

Computed properties:
Its volume is 15.90 Å³/atom. As for the offset from the most stable computed form: 209 meV per atom. The calculation puts the uncorrected energy at -0.3807 hartree per atom.

Lattice parameters (Å, degrees): 2.7934 4.5060 5.1360 90.00 100.37 90.00
Closest atoms and distances in Å follow each position.
Space group Pm (No. 6)
One atom of each set of equivalent atoms:
Ta  0.0000  0.0000  0.0000 (multiplicity 1)  2 Co 2.68, 2 Mo 2.69-2.70, 4 Ta 2.79-2.83
Ta  0.2758  0.5000  0.7279 (multiplicity 1)  2 Co 2.68-2.71, 2 Mo 2.69, 4 Ta 2.79-2.83
Co  0.7618  0.5000  0.2278 (multiplicity 1)  4 Ta 2.68-2.71, 2 Mo 2.79, 2 Co 2.79
Mo  0.5172  0.0000  0.4967 (multiplicity 1)  4 Ta 2.69-2.70, 2 Co 2.79, 2 Mo 2.79